1:
A geometry-optimized ReMo2Os2 structure, computed with PBE.

Lattice parameters (Å, degrees): 7.4018 7.4018 2.8643 90.00 90.00 90.00
Last column: nearest neighbours and their distance in Å.
Space group P4/mbm (No. 127)
Unique sites:
Re1 0.0000 0.0000 0.0000  2 Re 2.86, 4 Os 2.90, 8 Mo 3.10
Mo1 0.1688 0.3312 0.5000  6 Os 2.55-2.65
Os1 0.1300 0.6300 0.0000  6 Mo 2.55-2.65, 1 Os 2.72

Calculated values
**D(E_F)**: 10.87 states/eV per cell



2:
A geometry-optimized ReMo2Os2 structure, computed with PBE.

Lattice parameters (Å, degrees): 3.9184 3.9184 11.1810 90.00 90.00 90.00
Last column: nearest neighbours and their distance in Å.
Space group I4/mmm (No. 139)
Unique sites:
Re1 0.0000 0.0000 0.0000  8 Os 3.01
Mo1 0.0000 0.5000 0.2500  4 Os 2.54, 4 Mo 2.77
Os1 0.0000 0.0000 0.3941  1 Os 2.37, 4 Mo 2.54

Calculated values
**D(E_F)**: 16.59 states/eV per cell



Name the most stable of them. 1.



1:
A geometry-optimized MoOs3Rh structure, computed with PBE.

Lattice parameters (Å, degrees): 4.5949 4.5949 4.5949 90.00 90.00 90.00
Last column: nearest neighbours and their distance in Å.
Space group Pm-3m (No. 221)
Unique sites:
Mo1 0.0000 0.0000 0.0000  12 Os 3.25
Os1 0.0000 0.5000 0.5000  2 Rh 2.30
Rh1 0.5000 0.5000 0.5000  6 Os 2.30

Calculated values
**D(E_F)**: 9.95 states/eV per cell



2:
A geometry-optimized MoOs3Rh structure, computed with PBE.

Lattice parameters (Å, degrees): 5.2125 5.2125 12.9802 90.00 90.00 120.00
Last column: nearest neighbours and their distance in Å.
Space group R-3m (No. 166, hexagonal axes)
Unique sites:
Mo1 0.0000 0.0000 0.0000  6 Os 2.61
Os1 0.0000 0.5000 0.0000  4 Os 2.61, 2 Mo 2.61, 2 Rh 2.64
Rh1 0.0000 0.0000 0.5000  6 Os 2.64

Calculated values
**D(E_F)**: 25.28 states/eV per cell



3:
A geometry-optimized MoOs3Rh structure, computed with PBE.

Lattice parameters (Å, degrees): 4.6361 4.6361 4.6361 90.00 90.00 90.00
Last column: nearest neighbours and their distance in Å.
Space group Pm-3m (No. 221)
Unique sites:
Mo1 0.0000 0.0000 0.0000  6 Os 2.32
Os1 0.0000 0.0000 0.5000  2 Mo 2.32
Rh1 0.5000 0.5000 0.5000  12 Os 3.28

Calculated values
**D(E_F)**: 8.92 states/eV per cell



Name the most stable of them. 2.



1:
A geometry-optimized MoOsRh4 structure, computed with PBE.

Lattice parameters (Å, degrees): 7.9477 4.4715 5.3908 90.00 109.54 90.00
Last column: nearest neighbours and their distance in Å.
Space group C2/m (No. 12)
Unique sites:
Mo1 0.0000 0.0000 0.0000  8 Rh 2.65-2.70, 2 Os 2.70
Os1 0.0000 0.0000 0.5000  8 Rh 2.65-2.68, 2 Mo 2.70
Rh1 0.1898 0.5000 0.5936  3 Os 2.65-2.68, 7 Rh 2.67-2.84, 1 Mo 2.70
Rh2 0.1907 0.5000 0.0985  3 Mo 2.65-2.68, 7 Rh 2.67-2.86, 1 Os 2.68

Calculated values
**D(E_F)**: 10.50 states/eV per cell



2:
A geometry-optimized MoOsRh4 structure, computed with PBE.

Lattice parameters (Å, degrees): 7.1083 7.1083 7.1083 90.00 90.00 90.00
Last column: nearest neighbours and their distance in Å.
Space group F-43m (No. 216)
Unique sites:
Mo1 0.0000 0.0000 0.0000  12 Rh 2.95, 4 Os 3.08
Os1 0.2500 0.2500 0.7500  12 Rh 2.95, 4 Mo 3.08
Rh1 0.1247 0.1247 0.3753  6 Rh 2.51-2.52

Calculated values
**D(E_F)**: 41.29 states/eV per cell



Name the most stable of them. 1.



1:
A geometry-optimized MoOs2Ru structure, computed with PBE.

Lattice parameters (Å, degrees): 6.2056 6.2056 6.2056 90.00 90.00 90.00
Last column: nearest neighbours and their distance in Å.
Space group F-43m (No. 216)
Unique sites:
Mo1 0.0000 0.0000 0.0000  4 Ru 2.69, 4 Os 2.69
Os1 0.0000 0.0000 0.5000  4 Os 2.69, 4 Ru 2.69
Os2 0.2500 0.2500 0.2500  4 Mo 2.69, 4 Os 2.69
Ru1 0.2500 0.2500 0.7500  4 Mo 2.69, 4 Os 2.69

Calculated values
**D(E_F)**: 25.51 states/eV per cell



2:
A geometry-optimized MoOs2Ru structure, computed with PBE.

Lattice parameters (Å, degrees): 3.8674 3.8674 3.8997 90.00 90.00 90.00
Last column: nearest neighbours and their distance in Å.
Space group P4/mmm (No. 123)
Unique sites:
Mo1 0.0000 0.0000 0.0000  4 Ru 2.73, 8 Os 2.75
Os1 0.0000 0.5000 0.5000  4 Os 2.73, 4 Mo 2.75, 4 Ru 2.75
Ru1 0.5000 0.5000 0.0000  4 Mo 2.73, 8 Os 2.75

Calculated values
**D(E_F)**: 4.64 states/eV per cell



Name the most stable of them. 2.



1:
A geometry-optimized MoOs2Ru structure, computed with PBE.

Lattice parameters (Å, degrees): 8.9313 4.7353 5.5815 90.00 90.00 90.00
Last column: nearest neighbours and their distance in Å.
Space group Pna2_1 (No. 33)
Unique sites:
Mo1 0.1171 0.1636 0.0000  7 Os 2.62-2.79, 4 Ru 2.67-2.75
Os1 0.1182 0.1653 0.5006  3 Mo 2.62-2.79, 4 Ru 2.67-2.76, 4 Os 2.67-2.75
Os2 0.1209 0.6645 0.7511  3 Ru 2.65-2.80, 4 Mo 2.67-2.75, 4 Os 2.67-2.75
Ru1 0.1199 0.6631 0.2494  7 Os 2.65-2.80, 4 Mo 2.67-2.75

Calculated values
**D(E_F)**: 17.21 states/eV per cell



2:
A geometry-optimized MoOs2Ru structure, computed with PBE.

Lattice parameters (Å, degrees): 4.7396 2.7402 4.7574 90.00 109.32 90.00
Last column: nearest neighbours and their distance in Å.
Space group P2/m (No. 10)
Unique sites:
Mo1 0.0000 0.0000 0.0000  4 Ru 2.74, 2 Mo 2.74, 6 Os 2.75
Os1 0.0000 0.5000 0.5000  6 Os 2.74, 4 Mo 2.75, 2 Ru 2.75
Os2 0.5000 0.0000 0.5000  6 Os 2.74, 4 Ru 2.75, 2 Mo 2.75
Ru1 0.5000 0.5000 0.0000  4 Mo 2.74, 2 Ru 2.74, 6 Os 2.75

Calculated values
**D(E_F)**: 2.96 states/eV per cell



Name the most stable of them. 2.



1:
A geometry-optimized MoOs2Ru structure, computed with PBE.

Lattice parameters (Å, degrees): 3.2668 3.2668 5.6119 90.00 90.00 90.00
Last column: nearest neighbours and their distance in Å.
Space group P4mm (No. 99)
Unique sites:
Mo1 0.0000 0.0000 0.0000  4 Ru 2.72, 6 Os 2.74-2.83
Os1 0.0000 0.0000 0.5036  4 Os 2.68, 4 Ru 2.68, 2 Mo 2.79-2.83
Os2 0.5000 0.5000 0.2617  4 Os 2.68, 2 Ru 2.72-2.90, 4 Mo 2.74
Ru1 0.5000 0.5000 0.7457  6 Os 2.68-2.90, 4 Mo 2.72

Calculated values
**D(E_F)**: 5.21 states/eV per cell



2:
A geometry-optimized MoOs2Ru structure, computed with PBE.

Lattice parameters (Å, degrees): 3.8689 3.8689 7.7954 90.00 90.00 90.00
Last column: nearest neighbours and their distance in Å.
Space group I-4m2 (No. 119)
Unique sites:
Mo1 0.0000 0.0000 0.0000  8 Os 2.74-2.75, 4 Ru 2.75
Os1 0.0000 0.0000 0.5000  4 Mo 2.74, 4 Ru 2.75, 4 Os 2.75
Os2 0.0000 0.5000 0.7500  4 Ru 2.74, 4 Mo 2.75, 4 Os 2.75
Ru1 0.0000 0.5000 0.2500  8 Os 2.74-2.75, 4 Mo 2.75

Calculated values
**D(E_F)**: 6.34 states/eV per cell



3:
A geometry-optimized MoOs2Ru structure, computed with PBE.

Lattice parameters (Å, degrees): 6.2064 6.2064 6.2064 90.00 90.00 90.00
Last column: nearest neighbours and their distance in Å.
Space group Fm-3m (No. 225)
Unique sites:
Mo1 0.0000 0.0000 0.0000  8 Os 2.69
Os1 0.2500 0.2500 0.2500  4 Ru 2.69, 4 Mo 2.69
Ru1 0.0000 0.0000 0.5000  8 Os 2.69

Calculated values
**D(E_F)**: 21.04 states/eV per cell



4:
A geometry-optimized MoOs2Ru structure, computed with PBE.

Lattice parameters (Å, degrees): 3.2592 3.2592 5.6322 90.00 90.00 90.00
Last column: nearest neighbours and their distance in Å.
Space group P4/mmm (No. 123)
Unique sites:
Mo1 0.0000 0.0000 0.0000  8 Os 2.73, 2 Ru 2.82
Os1 0.5000 0.5000 0.2594  4 Ru 2.67, 2 Os 2.71-2.92, 4 Mo 2.73
Ru1 0.0000 0.0000 0.5000  8 Os 2.67, 2 Mo 2.82

Calculated values
**D(E_F)**: 5.01 states/eV per cell



Name the most stable of them. 2.



1:
A geometry-optimized MoOsRu2 structure, computed with PBE.

Lattice parameters (Å, degrees): 3.8609 3.8609 7.7730 90.00 90.00 90.00
Last column: nearest neighbours and their distance in Å.
Space group I4/mmm (No. 139)
Unique sites:
Mo1 0.0000 0.0000 0.0000  4 Os 2.73, 8 Ru 2.74
Os1 0.0000 0.0000 0.5000  4 Mo 2.73, 8 Ru 2.74
Ru1 0.0000 0.5000 0.2500  4 Ru 2.73, 4 Mo 2.74, 4 Os 2.74

Calculated values
**D(E_F)**: 6.71 states/eV per cell



2:
A geometry-optimized MoOsRu2 structure, computed with PBE.

Lattice parameters (Å, degrees): 2.7347 2.7347 26.9280 90.00 90.00 120.00
Last column: nearest neighbours and their distance in Å.
Space group R3m (No. 160, hexagonal axes)
Unique sites:
Mo1 0.0000 0.0000 0.0000  6 Mo 2.73, 3 Ru 2.76, 3 Os 2.80
Os1 0.0000 0.0000 0.7525  3 Ru 2.70, 6 Os 2.73, 3 Mo 2.80
Ru1 0.0000 0.0000 0.2494  9 Ru 2.72-2.73, 3 Mo 2.76
Ru2 0.0000 0.0000 0.5005  3 Os 2.70, 9 Ru 2.72-2.73

Calculated values
**D(E_F)**: 11.96 states/eV per cell



3:
A geometry-optimized MoOsRu2 structure, computed with PBE.

Lattice parameters (Å, degrees): 3.7959 3.7959 17.6529 90.00 90.00 90.00
Last column: nearest neighbours and their distance in Å.
Space group I-42d (No. 122)
Unique sites:
Mo1 0.0000 0.0000 0.0000  4 Ru 2.59, 4 Os 2.68
Os1 0.0000 0.0000 0.5000  4 Ru 2.57, 4 Mo 2.68
Ru1 0.2429 0.2500 0.6250  2 Os 2.57, 2 Mo 2.59, 4 Ru 2.65-2.72

Calculated values
**D(E_F)**: 20.54 states/eV per cell



4:
A geometry-optimized MoOsRu2 structure, computed with PBE.

Lattice parameters (Å, degrees): 4.2888 4.2888 11.5559 90.00 90.00 120.00
Last column: nearest neighbours and their distance in Å.
Space group R3m (No. 160, hexagonal axes)
Unique sites:
Mo1 0.0000 0.0000 0.0000  3 Ru 2.49, 4 Os 2.62-2.77
Os1 0.0000 0.0000 0.7735  4 Mo 2.62-2.77, 7 Ru 2.72-2.87
Ru1 0.0000 0.0000 0.3150  3 Mo 2.49, 1 Ru 2.58
Ru2 0.0000 0.0000 0.5380  4 Ru 2.58-2.79, 4 Os 2.72

Calculated values
**D(E_F)**: 14.43 states/eV per cell



Name the most stable of them. 1.



1:
A geometry-optimized MoOsRu2 structure, computed with PBE.

Lattice parameters (Å, degrees): 2.7371 2.7371 7.7535 90.00 90.00 90.00
Last column: nearest neighbours and their distance in Å.
Space group P4/mmm (No. 123)
Unique sites:
Mo1 0.0000 0.0000 0.0000  4 Mo 2.74, 8 Ru 2.78
Os1 0.0000 0.0000 0.5000  8 Ru 2.70, 4 Os 2.74
Ru1 0.5000 0.5000 0.2581  4 Os 2.70, 4 Ru 2.74, 4 Mo 2.78

Calculated values
**D(E_F)**: 2.55 states/eV per cell



2:
A geometry-optimized MoOsRu2 structure, computed with PBE.

Lattice parameters (Å, degrees): 6.1939 6.1939 6.1939 90.00 90.00 90.00
Last column: nearest neighbours and their distance in Å.
Space group Fm-3m (No. 225)
Unique sites:
Mo1 0.0000 0.0000 0.0000  8 Ru 2.68
Os1 0.0000 0.0000 0.5000  8 Ru 2.68
Ru1 0.2500 0.2500 0.2500  4 Mo 2.68, 4 Os 2.68

Calculated values
**D(E_F)**: 27.40 states/eV per cell



3:
A geometry-optimized MoOsRu2 structure, computed with PBE.

Lattice parameters (Å, degrees): 4.7520 2.7471 9.0365 90.00 100.17 90.00
Last column: nearest neighbours and their distance in Å.
Space group Cm (No. 8)
Unique sites:
Mo1 0.0000 0.0000 0.0000  6 Mo 2.74-2.75, 6 Ru 2.78-2.79
Os1 0.1672 0.0000 0.4972  6 Ru 2.65-2.69, 6 Os 2.74-2.75
Ru1 0.0827 0.5000 0.7419  3 Os 2.69, 6 Ru 2.74-2.75, 3 Mo 2.78-2.79
Ru2 0.4200 0.0000 0.2584  3 Os 2.65, 6 Ru 2.74-2.75, 3 Mo 2.79

Calculated values
**D(E_F)**: 7.22 states/eV per cell



4:
A geometry-optimized MoOsRu2 structure, computed with PBE.

Lattice parameters (Å, degrees): 2.7344 2.7344 26.9333 90.00 90.00 120.00
Last column: nearest neighbours and their distance in Å.
Space group R-3m (No. 166, hexagonal axes)
Unique sites:
Mo1 0.0000 0.0000 0.0000  6 Mo 2.73, 6 Ru 2.78
Os1 0.0000 0.0000 0.5000  6 Ru 2.71, 6 Os 2.73
Ru1 0.0000 0.0000 0.2485  3 Os 2.71, 6 Ru 2.73, 3 Mo 2.78

Calculated values
**D(E_F)**: 11.47 states/eV per cell



Name the most stable of them. 3.



1:
A geometry-optimized MoOsRu2 structure, computed with PBE.

Lattice parameters (Å, degrees): 2.7445 4.2675 5.2124 90.00 104.97 90.00
Last column: nearest neighbours and their distance in Å.
Space group Pm (No. 6)
Unique sites:
Mo1 0.0000 0.0000 0.0000  2 Os 2.55, 7 Ru 2.63-2.77, 2 Mo 2.74
Os1 0.1361 0.5000 0.2780  2 Mo 2.55, 7 Ru 2.62-2.78, 2 Os 2.74
Ru1 0.4000 0.5000 0.7992  3 Os 2.62-2.78, 4 Mo 2.73, 2 Ru 2.74
Ru2 0.7341 0.0000 0.4775  3 Mo 2.63-2.77, 4 Os 2.73, 2 Ru 2.74

Calculated values
**D(E_F)**: 3.67 states/eV per cell



2:
A geometry-optimized MoOsRu2 structure, computed with PBE.

Lattice parameters (Å, degrees): 3.8802 3.8802 3.8469 90.00 90.00 90.00
Last column: nearest neighbours and their distance in Å.
Space group P4/mmm (No. 123)
Unique sites:
Mo1 0.0000 0.0000 0.0000  8 Ru 2.73, 4 Os 2.74
Os1 0.5000 0.5000 0.0000  8 Ru 2.73, 4 Mo 2.74
Ru1 0.0000 0.5000 0.5000  4 Mo 2.73, 4 Os 2.73, 4 Ru 2.74

Calculated values
**D(E_F)**: 5.26 states/eV per cell



3:
A geometry-optimized MoOsRu2 structure, computed with PBE.

Lattice parameters (Å, degrees): 2.7361 3.8504 5.5111 90.00 90.00 90.00
Last column: nearest neighbours and their distance in Å.
Space group Pmmm (No. 47)
Unique sites:
Mo1 0.0000 0.0000 0.0000  2 Mo 2.74, 2 Os 2.76, 8 Ru 2.76
Os1 0.0000 0.0000 0.5000  8 Ru 2.71, 2 Os 2.74, 2 Mo 2.76
Ru1 0.5000 0.5000 0.2580  4 Ru 2.67-2.84, 4 Os 2.71, 4 Mo 2.76

Calculated values
**D(E_F)**: 3.94 states/eV per cell



4:
A geometry-optimized MoOsRu2 structure, computed with PBE.

Lattice parameters (Å, degrees): 5.4931 7.6977 2.7372 90.00 90.00 90.00
Last column: nearest neighbours and their distance in Å.
Space group Cmmm (No. 65)
Unique sites:
Mo1 0.0000 0.0000 0.0000  8 Ru 2.73, 2 Mo 2.74, 2 Os 2.75
Os1 0.0000 0.5000 0.0000  8 Ru 2.73, 2 Os 2.74, 2 Mo 2.75
Ru1 0.2500 0.2500 0.5000  4 Mo 2.73, 4 Os 2.73, 4 Ru 2.74-2.75

Calculated values
**D(E_F)**: 6.60 states/eV per cell



Name the most stable of them. 2.